GGA-PBE NiP2H30C38S2N2, relaxed; space-group type = P-1, No. 2; crystal system = triclinic; energy = -6.557 eV/atom
1.0
7.918 0.000 0.000
0.358 10.400 0.000
3.092 4.015 10.203
Ni P H C S N
1 2 30 38 2 2
direct
0.000 0.000 0.000 Ni
0.076 0.868 0.178 P
0.924 0.132 0.822 P
0.017 0.604 0.402 H
0.030 0.610 0.137 H
0.053 0.871 0.444 H
0.224 0.424 0.123 H
0.227 0.008 0.513 H
0.250 0.513 0.417 H
0.287 0.061 0.760 H
0.343 0.086 0.040 H
0.362 0.359 0.826 H
0.441 0.826 0.192 H
0.447 0.822 0.420 H
0.465 0.596 0.591 H
0.467 0.181 0.346 H
0.468 0.561 0.860 H
0.475 0.781 0.890 H
0.525 0.219 0.110 H
0.532 0.439 0.140 H
0.533 0.819 0.654 H
0.535 0.404 0.409 H
0.553 0.178 0.580 H
0.559 0.174 0.808 H
0.638 0.641 0.174 H
0.657 0.914 0.960 H
0.713 0.939 0.240 H
0.750 0.487 0.583 H
0.773 0.992 0.487 H
0.776 0.576 0.877 H
0.947 0.129 0.556 H
0.970 0.390 0.863 H
0.983 0.396 0.598 H
0.100 0.802 0.860 C
0.108 0.348 0.594 C
0.117 0.221 0.691 C
0.154 0.948 0.370 C
0.163 0.618 0.145 C
0.188 0.970 0.237 C
0.223 0.732 0.165 C
0.253 0.026 0.409 C
0.257 0.414 0.493 C
0.274 0.513 0.136 C
0.279 0.160 0.685 C
0.320 0.069 0.144 C
0.387 0.122 0.316 C
0.394 0.739 0.175 C
0.418 0.353 0.488 C
0.420 0.144 0.183 C
0.428 0.226 0.584 C
0.445 0.521 0.147 C
0.495 0.366 0.834 C
0.505 0.634 0.166 C
0.555 0.479 0.853 C
0.572 0.774 0.416 C
0.580 0.856 0.817 C
0.582 0.647 0.512 C
0.606 0.261 0.825 C
0.613 0.878 0.684 C
0.680 0.931 0.856 C
0.721 0.840 0.315 C
0.726 0.487 0.864 C
0.743 0.586 0.507 C
0.747 0.974 0.591 C
0.777 0.268 0.835 C
0.812 0.030 0.763 C
0.837 0.382 0.855 C
0.846 0.052 0.630 C
0.883 0.779 0.309 C
0.892 0.652 0.406 C
0.900 0.198 0.140 C
0.149 0.704 0.776 S
0.851 0.296 0.224 S
0.065 0.875 0.922 N
0.935 0.125 0.078 N